[1]
{
  "formula": "Tb12Pr6Dy",
  "functional": "PBE",
  "state": "optimized geometry",
  "volume_a3_per_atom": 34.610,
  "crystal_system": "trigonal",
  "spacegroup": "R-3m",
  "relative_energy_mev_per_atom": 0,
  "lattice_angstrom": [[-2.957, 2.898, 7.779], [-2.348, -8.462, 0.738], [8.541, -0.795, 2.021]],
  "species": ["Pr", "Tb", "Tb", "Tb", "Tb", "Tb", "Pr", "Pr", "Dy", "Tb", "Tb", "Pr", "Tb", "Tb", "Tb", "Pr", "Pr", "Tb", "Tb"],
  "fractional_positions": [[0.904, 0.342, 0.904], [0.243, 0.757, 0.500], [0.644, 0.918, 0.644], [0.757, 0.500, 0.243], [0.356, 0.082, 0.356], [0.918, 0.644, 0.644], [0.096, 0.658, 0.096], [0.342, 0.904, 0.904], [0.000, 0.000, 0.000], [0.500, 0.243, 0.757], [0.757, 0.243, 0.500], [0.658, 0.096, 0.096], [0.243, 0.500, 0.757], [0.082, 0.356, 0.356], [0.644, 0.644, 0.918], [0.096, 0.096, 0.658], [0.904, 0.904, 0.342], [0.500, 0.757, 0.243], [0.356, 0.356, 0.082]]
}

---

[2]
{
  "formula": "PmReB4",
  "functional": "PBE",
  "state": "optimized geometry",
  "volume_a3_per_atom": 10.582,
  "crystal_system": "orthorhombic",
  "spacegroup": "Immm",
  "relative_energy_mev_per_atom": 446,
  "lattice_angstrom": [[3.177, 0.000, 0.000], [1.589, 4.568, -0.011], [1.589, 1.325, 4.371]],
  "species": ["Re", "B", "B", "B", "Pm", "B"],
  "fractional_positions": [[0.500, 0.500, 0.500], [0.754, 0.584, 0.908], [0.246, 0.092, 0.416], [0.246, 0.416, 0.092], [0.000, 0.000, 0.000], [0.754, 0.908, 0.584]]
}

---

[3]
{
  "formula": "Sc4AlCoCu2",
  "functional": "PBE",
  "state": "optimized geometry",
  "volume_a3_per_atom": 17.328,
  "crystal_system": "trigonal",
  "spacegroup": "R-3m",
  "e_tot_ev_per_cell": -47.2,
  "lattice_angstrom": [[-0.748, 1.244, -4.383], [1.009, -2.918, -3.432], [-6.853, -3.401, -2.227]],
  "species": ["Sc", "Cu", "Sc", "Co", "Sc", "Al", "Sc", "Cu"],
  "fractional_positions": [[0.869, 0.869, 0.394], [0.259, 0.259, 0.224], [0.131, 0.131, 0.606], [0.500, 0.500, 0.500], [0.616, 0.616, 0.152], [0.000, 0.000, 0.000], [0.384, 0.384, 0.848], [0.741, 0.741, 0.776]]
}

---

[4]
{
  "formula": "Ho3Se2N",
  "functional": "PBE",
  "state": "optimized geometry",
  "volume_a3_per_atom": 24.825,
  "crystal_system": "orthorhombic",
  "spacegroup": "Cmcm",
  "e_form_raw_ev_per_fu": -9.1,
  "relative_energy_mev_per_atom": 123,
  "lattice_angstrom": [[5.527, 0.000, 0.000], [0.000, 7.862, 0.003], [0.000, -3.849, 6.855]],
  "species": ["Ho", "N", "Ho", "Se", "Se", "Ho", "Ho", "N", "Ho", "Ho", "Se", "Se"],
  "fractional_positions": [[0.493, 0.132, 0.425], [0.493, 0.157, 0.157], [0.993, 0.575, 0.868], [0.993, 0.512, 0.199], [0.493, 0.801, 0.488], [0.493, 0.879, 0.879], [0.993, 0.868, 0.575], [0.993, 0.843, 0.843], [0.993, 0.121, 0.121], [0.493, 0.425, 0.132], [0.493, 0.488, 0.801], [0.993, 0.199, 0.512]]
}